A PBEsol-optimized structure of GeAsSe2Cl, computed with SCAN.

```
data_GeAsSe2Cl
_chemical_formula_sum 'Ge1 As1 Se2 Cl1'
_cell_length_a 4.8756
_cell_length_b 4.8457
_cell_length_c 4.8457
_cell_angle_alpha 90.00
_cell_angle_beta 90.00
_cell_angle_gamma 90.00
_space_group_name_H-M_alt 'P 1'
_space_group_IT_number 1
loop_
_space_group_symop_operation_xyz
'x,y,z'
loop_
_atom_site_label
_atom_site_type_symbol
_atom_site_fract_x
_atom_site_fract_y
_atom_site_fract_z
_atom_site_occupancy
Se1 Se 0.0000 0.5000 0.0000 1
Se2 Se 0.0000 0.0000 0.5000 1
Ge1 Ge 0.5000 0.5000 0.5000 1
As1 As 0.5000 0.0000 0.0000 1
Cl1 Cl 0.0000 0.0000 0.0000 1
```

Values from the calculation:
total energy	-16.483	eV/atom

---

A PBEsol-optimized structure of TcGeAs2Cl, computed with SCAN.

```
data_TcGeAs2Cl
_chemical_formula_sum 'Tc1 Ge1 As2 Cl1'
_cell_length_a 4.7042
_cell_length_b 4.7042
_cell_length_c 4.8915
_cell_angle_alpha 90.00
_cell_angle_beta 90.00
_cell_angle_gamma 90.00
_space_group_name_H-M_alt 'P 1'
_space_group_IT_number 1
loop_
_space_group_symop_operation_xyz
'x,y,z'
loop_
_atom_site_label
_atom_site_type_symbol
_atom_site_fract_x
_atom_site_fract_y
_atom_site_fract_z
_atom_site_occupancy
As1 As 0.5000 0.0000 0.0000 1
As2 As 0.0000 0.5000 0.0000 1
Tc1 Tc 0.0000 0.0000 0.0000 1
Cl1 Cl 0.0000 0.0000 0.5000 1
Ge1 Ge 0.5000 0.5000 0.5000 1
```

Values from the calculation:
total energy	-20.019	eV/atom

---

A PBEsol-optimized structure of AsPHCl2, computed with SCAN.

```
data_AsPHCl2
_chemical_formula_sum 'As1 P1 H1 Cl2'
_cell_length_a 4.8628
_cell_length_b 4.8628
_cell_length_c 3.2493
_cell_angle_alpha 90.00
_cell_angle_beta 90.00
_cell_angle_gamma 90.00
_space_group_name_H-M_alt 'P 1'
_space_group_IT_number 1
loop_
_space_group_symop_operation_xyz
'x,y,z'
loop_
_atom_site_label
_atom_site_type_symbol
_atom_site_fract_x
_atom_site_fract_y
_atom_site_fract_z
_atom_site_occupancy
As1 As 0.5000 0.5000 0.5000 1
P1 P 0.0000 0.0000 0.5000 1
H1 H 0.0000 0.0000 0.0000 1
Cl1 Cl 0.5000 0.0000 0.0000 1
Cl2 Cl 0.0000 0.5000 0.0000 1
```

Values from the calculation:
total energy	-9.276	eV/atom

---

A PBEsol-optimized structure of Tl2AsHCl, computed with SCAN.

```
data_Tl2AsHCl
_chemical_formula_sum 'Tl2 As1 H1 Cl1'
_cell_length_a 4.4950
_cell_length_b 4.4950
_cell_length_c 5.0092
_cell_angle_alpha 90.00
_cell_angle_beta 90.00
_cell_angle_gamma 90.00
_space_group_name_H-M_alt 'P 1'
_space_group_IT_number 1
loop_
_space_group_symop_operation_xyz
'x,y,z'
loop_
_atom_site_label
_atom_site_type_symbol
_atom_site_fract_x
_atom_site_fract_y
_atom_site_fract_z
_atom_site_occupancy
As1 As 0.5000 0.5000 0.5000 1
Tl1 Tl 0.0000 0.5000 0.0000 1
Tl2 Tl 0.5000 0.0000 0.0000 1
Cl1 Cl 0.0000 0.0000 0.5000 1
H1 H 0.0000 0.0000 0.0000 1
```

Values from the calculation:
total energy	-34.914	eV/atom

---

A PBEsol-optimized structure of Hg3AsCl, computed with SCAN.

```
data_Hg3AsCl
_chemical_formula_sum 'Hg3 As1 Cl1'
_cell_length_a 5.2263
_cell_length_b 5.2263
_cell_length_c 5.2263
_cell_angle_alpha 90.00
_cell_angle_beta 90.00
_cell_angle_gamma 90.00
_space_group_name_H-M_alt 'P 1'
_space_group_IT_number 1
loop_
_space_group_symop_operation_xyz
'x,y,z'
loop_
_atom_site_label
_atom_site_type_symbol
_atom_site_fract_x
_atom_site_fract_y
_atom_site_fract_z
_atom_site_occupancy
Hg1 Hg 0.0000 0.5000 0.0000 1
Hg2 Hg 0.0000 0.0000 0.5000 1
Hg3 Hg 0.5000 0.0000 0.0000 1
As1 As 0.0000 0.0000 0.0000 1
Cl1 Cl 0.5000 0.5000 0.5000 1
```

Values from the calculation:
total energy	-46.672	eV/atom

---

A PBEsol-optimized structure of HgAs2Cl, computed with SCAN.

```
data_HgAs2Cl
_chemical_formula_sum 'Hg1 As2 Cl1'
_cell_length_a 4.1022
_cell_length_b 4.1022
_cell_length_c 5.7809
_cell_angle_alpha 109.21
_cell_angle_beta 109.21
_cell_angle_gamma 94.16
_space_group_name_H-M_alt 'P 1'
_space_group_IT_number 1
loop_
_space_group_symop_operation_xyz
'x,y,z'
loop_
_atom_site_label
_atom_site_type_symbol
_atom_site_fract_x
_atom_site_fract_y
_atom_site_fract_z
_atom_site_occupancy
As1 As 0.0000 0.5000 0.5000 1
As2 As 0.5000 0.0000 0.5000 1
Cl1 Cl 0.0000 0.0000 0.0000 1
Hg1 Hg 0.5000 0.5000 0.0000 1
```

Values from the calculation:
excess energy over the best structure of this formula in the dataset	0.204	eV per atom

---

no.,spin magnetization (μB/atom)
1,0.0001
2,0.0000
3,0.0000
4,0.0000
5,0.0000
6,0.0000